VASP calculation (PBE) on an optimized crystal structure of Pm8GeOs2.

abc: 18.1644 4.9171 7.2296
angles: 90.00 108.61 90.00
Closest atoms and distances in Å follow each position.
Space group C2/m (No. 12)
Symmetry-distinct sites (fractional):
Pm 0.0344 0.0000 0.2760 (multiplicity 4)  1 Os 3.02, 2 Ge 3.12
Pm 0.0980 0.5000 0.9588 (multiplicity 4)  2 Os 3.15, 1 Ge 3.23, 6 Pm 3.41-3.48
Pm 0.1716 0.5000 0.4560 (multiplicity 4)  3 Os 2.95-3.16, 1 Ge 3.23
Pm 0.2027 0.0000 0.8110 (multiplicity 4)  3 Os 2.90-3.17
Ge 0.0000 0.5000 0.5000 (multiplicity 2)  8 Pm 3.12-3.23
Os 0.1881 0.0000 0.1982 (multiplicity 4)  9 Pm 2.90-3.17

Calculated values
- Total energy: -134.42 eV/cell